Record 1
Computed, not measured: Pm2TiGe5 after structural relaxation at the PBE level of DFT.

Values from the calculation:
Its density of states at the Fermi level is 2.69 states/eV/cell. As for the total energy: -5.5655 eV per atom. The calculation puts the energy of formation at -0.51 eV per atom. As for the symmetry: No. 107. The value obtained for the magnetization is 0.00 μB/f.u.

Unit cell a=6.2918 b=6.2918 c=6.2918 alpha=120.47 beta=120.47 gamma=89.18
Element x y z (fractional)
Pm 0.0000 0.5000 0.5000
Pm 0.5000 0.0000 0.5000
Ti 0.2566 0.2566 0.0000
Ge 0.5354 0.5354 0.0000
Ge 0.5424 0.5424 0.5778
Ge 0.5424 0.9647 0.0000
Ge 0.9647 0.5424 0.0000
Ge 0.9647 0.9647 0.4222



Record 2
Computed, not measured: CrHg2P after structural relaxation at the PBE level of DFT.

Values from the calculation:
Its density of states at the Fermi level is 2.15 states/eV/cell. As for the total energy: -3.6167 eV per atom. The calculation puts the energy of formation at 0.29 eV per atom. As for the symmetry: No. 44. The value obtained for the magnetization is 2.70 μB/f.u.

Unit cell a=6.1414 b=6.1414 c=6.1414 alpha=149.76 beta=134.25 gamma=55.82
Element x y z (fractional)
Cr 0.0000 0.0000 0.0000
Hg 0.2233 0.7233 0.5000
Hg 0.5162 0.5162 0.0000
P 0.8483 0.3483 0.5000



Record 3
Computed, not measured: Zn2CdP2 after structural relaxation at the PBE level of DFT.

Values from the calculation:
Its density of states at the Fermi level is 1.62 states/eV/cell. As for the total energy: -2.7817 eV per atom. Its energy above the most stable polymorph in this dataset is 0.000 eV per atom. The calculation puts the energy of formation at 0.07 eV per atom. As for the symmetry: No. 139. The value obtained for the magnetization is 0.00 μB/f.u.

Unit cell a=5.5325 b=5.5325 c=5.5325 alpha=131.88 beta=131.88 gamma=70.42
Element x y z (fractional)
Zn 0.2500 0.7500 0.5000
Zn 0.7500 0.2500 0.5000
Cd 0.0000 0.0000 0.0000
P 0.3767 0.3767 0.0000
P 0.6233 0.6233 0.0000



> energy of formation of number 2 (CrHg2P)?

0.29 eV per atom